Material: MgInCu2
Method: DFT, GGA-PBEsol
State: relaxed

Summary:
Density of states at the Fermi level (states/eV per atom): 0.30
SG: Amm2 (38)
Total magnetization (μB/atom): 0.000
Energy of formation (eV per atom): -0.04
Crystal system: orthorhombic

Cell: 3.0223 4.1751 5.2512 Å, 90.00 106.72 90.00°
Closest atoms and distances in Å follow each position.
Positions (direct):
Cu: 0.8197 0.0000 0.6393  2 Cu 2.48, 3 In 2.71-2.77, 4 Mg 2.73
Cu: 0.6859 0.5000 0.3718  2 Cu 2.48, 2 Mg 2.70, 4 In 2.75
In: 0.0893 0.0000 0.1786  7 Cu 2.71-2.77, 2 In 3.02
Mg: 0.4086 0.5000 0.8171  7 Cu 2.70-2.79, 2 Mg 3.02



Material: Y2Mg
Method: DFT, GGA-PBEsol
State: relaxed

Summary:
Density of states at the Fermi level (states/eV per atom): 1.44
SG: C2/c (15)
Total magnetization (μB/atom): 0.000
Energy of formation (eV per atom): 0.01
Crystal system: monoclinic

Cell: 5.9147 5.9147 6.4738 Å, 90.64 117.26 119.11°
Closest atoms and distances in Å follow each position.
Positions (direct):
Y: 0.1700 0.7689 0.7382  5 Mg 3.28-3.55, 7 Y 3.39-3.52
Y: 0.8300 0.2311 0.2618  5 Mg 3.28-3.55, 7 Y 3.39-3.52
Y: 0.4693 0.5683 0.2382  5 Mg 3.28-3.55, 7 Y 3.39-3.52
Y: 0.5307 0.4317 0.7618  5 Mg 3.28-3.55, 7 Y 3.39-3.52
Mg: 0.1645 0.9145 0.2500  10 Y 3.28-3.55, 2 Mg 3.39
Mg: 0.8355 0.0855 0.7500  10 Y 3.28-3.55, 2 Mg 3.39



Material: Cr2InAs
Method: DFT, GGA-PBEsol
State: relaxed

Summary:
Density of states at the Fermi level (states/eV per atom): 0.14
ΔE to the lowest computed polymorph (eV per atom): 0.123
SG: F-43m (216)
Total magnetization (μB/atom): 0.007
Energy of formation (eV per atom): 0.49
Crystal system: cubic

Cell: 4.5495 4.5495 4.5495 Å, 60.00 60.00 60.00°
Closest atoms and distances in Å follow each position.
Positions (direct):
In: 0.2500 0.2500 0.2500  4 Cr 2.79, 4 As 2.79
Cr: 0.0000 0.0000 0.0000  4 Cr 2.79, 4 In 2.79
Cr: 0.7500 0.7500 0.7500  4 As 2.79, 4 Cr 2.79
As: 0.5000 0.5000 0.5000  4 In 2.79, 4 Cr 2.79



Material: BaZnPd3
Method: DFT, GGA-PBEsol
State: relaxed

Summary:
Density of states at the Fermi level (states/eV per atom): 0.22
SG: Pm-3m (221)
Total magnetization (μB/atom): 0.000
Energy of formation (eV per atom): 1.24
Crystal system: cubic

Cell: 5.2426 5.2426 5.2426 Å, 90.00 90.00 90.00°
Closest atoms and distances in Å follow each position.
Positions (direct):
Pd: 0.0000 0.5000 0.0000  2 Ba 2.62
Pd: 0.5000 0.0000 0.0000  2 Ba 2.62
Pd: 0.0000 0.0000 0.5000  2 Ba 2.62
Ba: 0.0000 0.0000 0.0000  6 Pd 2.62
Zn: 0.5000 0.5000 0.5000  12 Pd 3.71



Material: SrMgCoP2O8
Method: DFT, GGA-PBEsol
State: relaxed

Summary:
Density of states at the Fermi level (states/eV per atom): 0.21
SG: P-1 (2)
Raw formation energy (eV/atom): -2.365
Total magnetization (μB/atom): 0.231
Crystal system: triclinic

Cell: 5.5233 6.5657 9.1955 Å, 109.62 102.27 97.40°
Closest atoms and distances in Å follow each position.
Positions (direct):
Mg: 0.0035 0.4197 0.6522  4 O 2.03-2.09
Mg: 0.9965 0.5803 0.3478  4 O 2.03-2.09
O: 0.3619 0.5232 0.8004  1 P 1.54
O: 0.3500 0.1899 0.2482  1 P 1.54
O: 0.0173 0.7278 0.5873  1 P 1.56
O: 0.6205 0.4049 0.5937  1 P 1.56
O: 0.7550 0.9977 0.1234  1 P 1.52
O: 0.1526 0.4422 0.1251  1 P 1.55
O: 0.6381 0.4768 0.1996  1 P 1.54
O: 0.3795 0.5951 0.4063  1 P 1.56
O: 0.9827 0.2722 0.4127  1 P 1.56
O: 0.6500 0.8101 0.7518  1 P 1.54
O: 0.9447 0.1183 0.6844  1 P 1.57
O: 0.8474 0.5578 0.8749  1 P 1.55
O: 0.0553 0.8817 0.3156  1 P 1.57
O: 0.3723 0.0619 0.6460  1 P 1.58
O: 0.2450 0.0023 0.8766  1 P 1.52
O: 0.6277 0.9381 0.3540  1 P 1.58
Sr: 0.2672 0.7950 0.0598  8 O 2.49-2.77
Sr: 0.7328 0.2050 0.9402  8 O 2.49-2.77
P: 0.1443 0.9720 0.7019  4 O 1.52-1.58
P: 0.3884 0.4233 0.2429  4 O 1.54-1.56
P: 0.6116 0.5767 0.7571  4 O 1.54-1.56
P: 0.8557 0.0280 0.2981  4 O 1.52-1.58
Co: 0.3901 0.1217 0.4479  5 O 1.97-2.09
Co: 0.6099 0.8783 0.5521  5 O 1.97-2.09



Material: HfIrRu3
Method: DFT, GGA-PBEsol
State: relaxed

Summary:
Density of states at the Fermi level (states/eV per atom): 1.35
SG: Pm-3m (221)
Total magnetization (μB/atom): 0.000
Energy of formation (eV per atom): 1.44
Crystal system: cubic

Cell: 4.5878 4.5878 4.5878 Å, 90.00 90.00 90.00°
Closest atoms and distances in Å follow each position.
Positions (direct):
Ru: 0.0000 0.0000 0.5000  2 Ir 2.29
Ru: 0.0000 0.5000 0.0000  2 Ir 2.29
Ru: 0.5000 0.0000 0.0000  2 Ir 2.29
Ir: 0.0000 0.0000 0.0000  6 Ru 2.29
Hf: 0.5000 0.5000 0.5000  12 Ru 3.24



Material: MnAuO2
Method: DFT, GGA-PBEsol
State: relaxed

Summary:
Density of states at the Fermi level (states/eV per atom): 0.56
SG: Fm-3m (225)
Raw formation energy (eV/atom): 0.004
Total magnetization (μB/atom): 0.996
Crystal system: cubic

Cell: 3.9581 3.9581 3.9581 Å, 60.00 60.00 60.00°
Closest atoms and distances in Å follow each position.
Positions (direct):
Mn: 0.0000 0.0000 0.0000  8 O 2.42
O: 0.2500 0.2500 0.2500  4 Mn 2.42, 4 Au 2.42
O: 0.7500 0.7500 0.7500  4 Au 2.42, 4 Mn 2.42
Au: 0.5000 0.5000 0.5000  8 O 2.42



Material: ThAl
Method: DFT, GGA-PBEsol
State: relaxed

Summary:
Density of states at the Fermi level (states/eV per atom): 0.88
SG: Cmcm (63)
Total magnetization (μB/atom): 0.000
Energy of formation (eV per atom): -0.29
Crystal system: orthorhombic

Cell: 5.6155 5.9544 5.9544 Å, 76.65 90.00 90.00°
Closest atoms and distances in Å follow each position.
Positions (direct):
Al: 0.2500 0.6833 0.3167  2 Al 2.73
Al: 0.0000 0.0000 0.0000  4 Al 2.73-2.81
Al: 0.7500 0.3167 0.6833  2 Al 2.73
Al: 0.5000 0.0000 0.0000  4 Al 2.73-2.81
Th: 0.2500 0.5307 0.8550  8 Al 3.09-3.41, 2 Th 3.27
Th: 0.7500 0.8550 0.5307  8 Al 3.09-3.41, 2 Th 3.27
Th: 0.2500 0.1450 0.4693  8 Al 3.09-3.41, 2 Th 3.27
Th: 0.7500 0.4693 0.1450  8 Al 3.09-3.41, 2 Th 3.27



Material: CuIF3
Method: DFT, GGA-PBEsol
State: relaxed

Summary:
Density of states at the Fermi level (states/eV per atom): 0.58
SG: Pm-3m (221)
Raw formation energy (eV/atom): -0.862
Total magnetization (μB/atom): 0.603
Crystal system: cubic

Cell: 4.1117 4.1117 4.1117 Å, 90.00 90.00 90.00°
Closest atoms and distances in Å follow each position.
Positions (direct):
Cu: 0.0000 0.0000 0.0000  6 F 2.06
F: 0.0000 0.0000 0.5000  2 Cu 2.06
F: 0.0000 0.5000 0.0000  2 Cu 2.06
F: 0.5000 0.0000 0.0000  2 Cu 2.06
I: 0.5000 0.5000 0.5000  12 F 2.91



Material: RhPb2Br
Method: DFT, GGA-PBEsol
State: relaxed

Summary:
Density of states at the Fermi level (states/eV per atom): 0.29
ΔE to the lowest computed polymorph (eV per atom): 0.371
SG: Fm-3m (225)
Raw formation energy (eV/atom): 0.241
Total magnetization (μB/atom): 0.000
Crystal system: cubic

Cell: 5.0611 5.0611 5.0611 Å, 60.00 60.00 60.00°
Closest atoms and distances in Å follow each position.
Positions (direct):
Br: 0.0000 0.0000 0.0000  8 Pb 3.10
Pb: 0.7500 0.7500 0.7500  4 Br 3.10, 4 Rh 3.10
Pb: 0.2500 0.2500 0.2500  4 Br 3.10, 4 Rh 3.10
Rh: 0.5000 0.5000 0.5000  8 Pb 3.10



Material: KMg2Se
Method: DFT, GGA-PBEsol
State: relaxed

Summary:
Density of states at the Fermi level (states/eV per atom): 0.34
SG: Pm (6)
Raw formation energy (eV/atom): -0.477
Total magnetization (μB/atom): 0.000
Crystal system: monoclinic

Cell: 3.9794 4.2984 7.0546 Å, 105.05 90.00 90.00°
Closest atoms and distances in Å follow each position.
Positions (direct):
K: 0.5000 0.4126 0.6905  4 Se 3.26-3.30
Mg: 0.5000 0.6620 0.2341  2 Se 2.59
Mg: 0.0000 0.0971 0.1016  4 Mg 3.04-3.09, 1 Se 3.13
Se: 0.0000 0.8283 0.4738  2 Mg 2.59



Material: NaTaRe2W
Method: DFT, GGA-PBEsol
State: relaxed

Summary:
Density of states at the Fermi level (states/eV per atom): 0.96
SG: P4/mmm (123)
Total magnetization (μB/atom): 0.136
Energy of formation (eV per atom): 1.99
Crystal system: tetragonal

Cell: 4.7556 4.7556 4.8448 Å, 90.00 90.00 90.00°
Closest atoms and distances in Å follow each position.
Positions (direct):
Re: 0.5000 0.0000 0.0000  2 W 2.38
Re: 0.0000 0.5000 0.0000  2 W 2.38
W: 0.0000 0.0000 0.0000  4 Re 2.38, 2 Ta 2.42
Na: 0.5000 0.5000 0.5000  4 Ta 3.36, 8 Re 3.39
Ta: 0.0000 0.0000 0.5000  2 W 2.42



Material: Li2ZnNi
Method: DFT, GGA-PBEsol
State: relaxed

Summary:
Density of states at the Fermi level (states/eV per atom): 0.39
SG: C2/m (12)
Total magnetization (μB/atom): 0.000
Energy of formation (eV per atom): -0.07
Crystal system: monoclinic

Cell: 2.5680 4.4232 4.9918 Å, 114.82 102.54 95.19°
Closest atoms and distances in Å follow each position.
Positions (direct):
Ni: 0.0000 0.5000 0.0000  4 Zn 2.45-2.66, 4 Li 2.55, 2 Ni 2.57
Li: 0.5000 0.5000 0.5000  6 Li 2.45-2.66, 2 Zn 2.55, 2 Ni 2.55
Li: 0.0000 0.0000 0.5000  6 Li 2.45-2.66, 2 Ni 2.55, 2 Zn 2.55
Zn: 0.5000 0.0000 0.0000  4 Ni 2.45-2.66, 4 Li 2.55, 2 Zn 2.57